(1)
First-principles (PBE-GGA) data for ZnCd2 after structural relaxation, as listed in Alexandria.

Cell lengths 5.563, 5.563, 5.563 Å; angles 101.66, 101.66, 126.57 degrees
Atoms (fractional coordinates):
Cd1 0.151 0.349 0.500
Cd2 0.849 0.651 0.500
Cd3 0.349 0.849 0.199
Cd4 0.651 0.151 0.801
Zn1 0.250 0.250 0.000
Zn2 0.750 0.750 0.000

Output
Symmetry: No. 140
Energy of formation from the pure elements: 0.042 eV/atom

---

(2)
First-principles (PBE-GGA) data for Zr3Zn3Cd after structural relaxation, as listed in Alexandria.

Cell lengths 6.534, 6.534, 6.480 Å; angles 90.00, 90.00, 94.38 degrees
Atoms (fractional coordinates):
Zr1 0.256 0.744 0.500
Zr2 0.285 0.285 0.000
Zr3 0.730 0.730 0.500
Zr4 0.744 0.256 0.500
Zr5 0.270 0.270 0.500
Zr6 0.715 0.715 0.000
Zn1 0.000 0.000 0.243
Zn2 0.500 0.000 0.759
Zn3 0.000 0.000 0.757
Zn4 0.000 0.500 0.241
Zn5 0.000 0.500 0.759
Zn6 0.500 0.000 0.241
Cd1 0.248 0.752 0.000
Cd2 0.752 0.248 0.000

Output
Symmetry: No. 65
Energy of formation from the pure elements: -0.049 eV/atom

---

(3)
First-principles (PBE-GGA) data for ZrZnCd4 after structural relaxation, as listed in Alexandria.

Cell lengths 4.986, 6.947, 8.633 Å; angles 113.73, 106.82, 90.00 degrees
Atoms (fractional coordinates):
Cd1 0.819 0.320 0.640
Cd2 0.368 0.099 0.735
Cd3 0.181 0.680 0.360
Cd4 0.632 0.901 0.265
Cd5 0.368 0.636 0.735
Cd6 0.632 0.364 0.265
Cd7 0.000 0.184 0.000
Cd8 0.000 0.816 0.000
Zr1 0.804 0.803 0.606
Zr2 0.196 0.197 0.394
Zn1 0.264 0.498 0.997
Zn2 0.736 0.502 0.003

Output
Symmetry: No. 12
Energy of formation from the pure elements: 0.075 eV/atom

---

(4)
First-principles (PBE-GGA) data for ZrZnCd after structural relaxation, as listed in Alexandria.

Cell lengths 3.208, 4.396, 8.437 Å; angles 90.00, 100.96, 90.00 degrees
Atoms (fractional coordinates):
Cd1 0.208 0.250 0.416
Cd2 0.792 0.750 0.584
Zr1 0.600 0.750 0.199
Zr2 0.400 0.250 0.801
Zn1 0.957 0.750 0.914
Zn2 0.043 0.250 0.086

Output
Symmetry: No. 63
Energy of formation from the pure elements: -0.165 eV/atom

---

(5)
First-principles (PBE-GGA) data for Zr4Zn2Cd5 after structural relaxation, as listed in Alexandria.

Cell lengths 3.057, 7.622, 9.775 Å; angles 93.48, 90.00, 90.00 degrees
Atoms (fractional coordinates):
Cd1 0.000 0.802 0.833
Cd2 0.000 0.567 0.298
Cd3 0.000 0.500 0.000
Cd4 0.000 0.198 0.167
Cd5 0.000 0.433 0.702
Zr1 0.500 0.148 0.879
Zr2 0.500 0.852 0.121
Zr3 0.500 0.731 0.549
Zr4 0.500 0.269 0.451
Zn1 0.000 0.052 0.631
Zn2 0.000 0.948 0.369

Output
Symmetry: No. 10
Energy of formation from the pure elements: -0.119 eV/atom

---

(6)
First-principles (PBE-GGA) data for Zr2ZnCd3 after structural relaxation, as listed in Alexandria.

Cell lengths 3.148, 4.747, 8.257 Å; angles 90.00, 90.00, 90.00 degrees
Atoms (fractional coordinates):
Zr1 0.000 0.000 0.487
Zr2 0.000 0.500 0.016
Zn1 0.500 0.500 0.334
Cd1 0.500 0.000 0.171
Cd2 0.500 0.500 0.659
Cd3 0.500 0.000 0.832

Output
Symmetry: No. 25
Energy of formation from the pure elements: -0.096 eV/atom

---

(7)
First-principles (PBE-GGA) data for ZrZnCd2 after structural relaxation, as listed in Alexandria.

Cell lengths 5.407, 5.407, 5.525 Å; angles 74.62, 74.62, 31.96 degrees
Atoms (fractional coordinates):
Cd1 0.006 0.006 0.980
Cd2 0.766 0.766 0.764
Zn1 0.491 0.491 0.474
Zr1 0.237 0.237 0.282

Output
Symmetry: No. 8
Energy of formation from the pure elements: -0.004 eV/atom

---

(8)
First-principles (PBE-GGA) data for ZrZn17Cd after structural relaxation, as listed in Alexandria.

Cell lengths 6.766, 6.766, 6.766 Å; angles 81.57, 81.57, 81.57 degrees
Atoms (fractional coordinates):
Zn1 0.305 0.002 0.680
Zn2 0.305 0.680 0.002
Zn3 0.898 0.898 0.898
Zn4 0.655 0.151 0.655
Zn5 0.680 0.305 0.002
Zn6 0.151 0.655 0.655
Zn7 0.680 0.002 0.305
Zn8 0.655 0.655 0.151
Zn9 0.349 0.836 0.349
Zn10 0.493 0.990 0.990
Zn11 0.098 0.098 0.098
Zn12 0.349 0.349 0.836
Zn13 0.990 0.990 0.493
Zn14 0.836 0.349 0.349
Zn15 0.990 0.493 0.990
Zn16 0.002 0.680 0.305
Zn17 0.002 0.305 0.680
Cd1 0.396 0.396 0.396
Zr1 0.666 0.666 0.666

Output
Symmetry: No. 160
Energy of formation from the pure elements: -0.047 eV/atom

---

(9)
First-principles (PBE-GGA) data for ZrZnCd2 after structural relaxation, as listed in Alexandria.

Cell lengths 5.625, 5.625, 2.885 Å; angles 90.00, 90.00, 114.75 degrees
Atoms (fractional coordinates):
Cd1 0.500 0.500 0.000
Cd2 0.000 0.000 0.000
Zr1 0.000 0.500 0.500
Zn1 0.500 0.000 0.500

Output
Symmetry: No. 65
Energy of formation from the pure elements: -0.002 eV/atom

---

(10)
First-principles (PBE-GGA) data for ZrZnCd after structural relaxation, as listed in Alexandria.

Cell lengths 6.423, 6.423, 3.119 Å; angles 75.94, 75.95, 28.11 degrees
Atoms (fractional coordinates):
Cd1 0.989 0.989 0.011
Zr1 0.679 0.679 0.321
Zn1 0.332 0.332 0.668

Output
Symmetry: No. 107
Energy of formation from the pure elements: -0.156 eV/atom

---

(11)
First-principles (PBE-GGA) data for Zr3ZnCd2 after structural relaxation, as listed in Alexandria.

Cell lengths 3.172, 3.172, 12.333 Å; angles 90.00, 90.00, 90.00 degrees
Last column: magnetic moment on the atom in μB.
Atoms (fractional coordinates):
Cd1 0.500 0.500 0.174  0.00
Cd2 0.500 0.500 0.826  0.00
Zr1 0.000 0.000 0.000  0.07
Zr2 0.000 0.000 0.650  -0.02
Zr3 0.000 0.000 0.350  -0.02
Zn1 0.500 0.500 0.500  0.00

Output
Symmetry: No. 123
Energy of formation from the pure elements: -0.156 eV/atom

---

(12)
First-principles (PBE-GGA) data for ZrZnCd2 after structural relaxation, as listed in Alexandria.

Cell lengths 3.079, 3.079, 10.170 Å; angles 81.29, 81.29, 60.00 degrees
Atoms (fractional coordinates):
Cd1 0.255 0.255 0.236
Cd2 0.078 0.078 0.765
Zr1 0.500 0.500 0.499
Zn1 0.667 0.667 0.000

Output
Symmetry: No. 160
Energy of formation from the pure elements: 0.025 eV/atom

---

(13)
First-principles (PBE-GGA) data for ZrZnCd2 after structural relaxation, as listed in Alexandria.

Cell lengths 5.914, 5.914, 5.914 Å; angles 148.04, 131.66, 59.13 degrees
Atoms (fractional coordinates):
Zn1 0.750 0.250 0.500
Cd1 0.521 0.521 0.000
Cd2 0.979 0.979 0.000
Zr1 0.250 0.750 0.500

Output
Symmetry: No. 71
Energy of formation from the pure elements: 0.005 eV/atom

---

(14)
First-principles (PBE-GGA) data for Zr6ZnCd2 after structural relaxation, as listed in Alexandria.

Cell lengths 4.653, 6.732, 8.161 Å; angles 114.36, 106.78, 90.00 degrees
Atoms (fractional coordinates):
Cd1 0.666 0.666 0.332
Cd2 0.334 0.334 0.668
Zr1 0.838 0.598 0.678
Zr2 0.500 0.237 0.000
Zr3 0.162 0.921 0.322
Zr4 0.162 0.402 0.322
Zr5 0.838 0.079 0.678
Zr6 0.500 0.763 0.000
Zn1 0.000 0.000 0.000

Output
Symmetry: No. 12
Energy of formation from the pure elements: 0.388 eV/atom

---

(15)
First-principles (PBE-GGA) data for ZrZnCd2 after structural relaxation, as listed in Alexandria.

Cell lengths 2.997, 4.343, 6.249 Å; angles 90.00, 90.00, 90.00 degrees
Atoms (fractional coordinates):
Zr1 0.500 0.500 0.750
Cd1 0.000 0.000 0.490
Cd2 0.000 0.000 0.010
Zn1 0.500 0.500 0.250

Output
Symmetry: No. 47
Energy of formation from the pure elements: 0.018 eV/atom

---

(16)
First-principles (PBE-GGA) data for ZrZnCd2 after structural relaxation, as listed in Alexandria.

Cell lengths 7.746, 7.746, 6.203 Å; angles 51.36, 51.36, 90.00 degrees
Atoms (fractional coordinates):
Zn1 0.250 0.750 0.500
Zn2 0.500 0.500 0.000
Cd1 0.875 0.842 0.750
Cd2 0.592 0.125 0.250
Cd3 0.158 0.625 0.250
Cd4 0.375 0.408 0.750
Zr1 0.750 0.250 0.500
Zr2 0.000 0.000 0.000

Output
Symmetry: No. 122
Energy of formation from the pure elements: 0.188 eV/atom

---

(17)
First-principles (PBE-GGA) data for ZrZnCd2 after structural relaxation, as listed in Alexandria.

Cell lengths 3.143, 3.143, 8.117 Å; angles 90.00, 90.00, 90.00 degrees
Atoms (fractional coordinates):
Cd1 0.500 0.500 0.274
Cd2 0.000 0.000 0.003
Zr1 0.500 0.500 0.725
Zn1 0.000 0.000 0.499

Output
Symmetry: No. 99
Energy of formation from the pure elements: -0.122 eV/atom

---

(18)
First-principles (PBE-GGA) data for ZrZn2Cd2 after structural relaxation, as listed in Alexandria.

Cell lengths 4.083, 4.083, 6.510 Å; angles 71.72, 71.72, 90.00 degrees
Atoms (fractional coordinates):
Zn1 0.598 0.598 0.803
Zn2 0.402 0.402 0.197
Cd1 0.750 0.250 0.500
Cd2 0.250 0.750 0.500
Zr1 0.000 0.000 0.000

Output
Symmetry: No. 139
Energy of formation from the pure elements: -0.002 eV/atom

---

(19)
First-principles (PBE-GGA) data for ZrZnCd2 after structural relaxation, as listed in Alexandria.

Cell lengths 4.615, 3.032, 5.904 Å; angles 78.12, 90.00, 90.00 degrees
Atoms (fractional coordinates):
Zr1 0.500 0.750 0.750
Zn1 0.500 0.250 0.250
Cd1 0.000 0.379 0.490
Cd2 0.000 0.121 0.010

Output
Symmetry: No. 10
Energy of formation from the pure elements: -0.046 eV/atom

---

(20)
First-principles (PBE-GGA) data for ZrZnCd after structural relaxation, as listed in Alexandria.

Cell lengths 4.480, 4.480, 4.480 Å; angles 60.00, 60.00, 60.00 degrees
Atoms (fractional coordinates):
Cd1 0.500 0.500 0.500
Zn1 0.750 0.750 0.750
Zr1 0.000 0.000 0.000

Output
Symmetry: No. 216
Energy of formation from the pure elements: 0.009 eV/atom

---

(21)
First-principles (PBE-GGA) data for Zr2Zn3Cd2 after structural relaxation, as listed in Alexandria.

Cell lengths 4.576, 4.574, 8.126 Å; angles 90.04, 106.33, 120.04 degrees
Atoms (fractional coordinates):
Cd1 0.263 0.132 0.396
Cd2 0.737 0.869 0.604
Zn1 0.000 0.000 0.000
Zn2 0.502 0.252 0.753
Zn3 0.498 0.748 0.247
Zr1 0.242 0.621 0.862
Zr2 0.758 0.379 0.138

Output
Symmetry: No. 12
Energy of formation from the pure elements: -0.068 eV/atom

---

(22)
First-principles (PBE-GGA) data for Zr5Zn2Cd4 after structural relaxation, as listed in Alexandria.

Cell lengths 3.352, 7.604, 17.789 Å; angles 90.00, 90.00, 90.00 degrees
Last column: magnetic moment on the atom in μB.
Atoms (fractional coordinates):
Zr1 0.000 0.857 0.074  0.03
Zr2 0.000 0.500 0.000  0.09
Zr3 0.000 0.755 0.784  0.00
Zr4 0.000 0.745 0.284  0.00
Zr5 0.000 0.357 0.426  0.03
Zr6 0.000 0.143 0.926  0.03
Zr7 0.000 0.000 0.500  0.09
Zr8 0.000 0.245 0.216  0.00
Zr9 0.000 0.643 0.574  0.03
Zr10 0.000 0.255 0.716  0.00
Zn1 0.500 0.049 0.806  0.00
Zn2 0.500 0.549 0.694  0.00
Zn3 0.500 0.451 0.306  0.00
Zn4 0.500 0.951 0.194  0.00
Cd1 0.500 0.936 0.652  0.00
Cd2 0.500 0.064 0.348  0.00
Cd3 0.500 0.564 0.152  0.00
Cd4 0.500 0.300 0.571  0.00
Cd5 0.500 0.800 0.929  0.00
Cd6 0.500 0.200 0.071  0.00
Cd7 0.500 0.700 0.429  0.00
Cd8 0.500 0.436 0.848  0.00

Output
Symmetry: No. 55
Energy of formation from the pure elements: -0.143 eV/atom

---

(23)
First-principles (PBE-GGA) data for ZrZn14Cd after structural relaxation, as listed in Alexandria.

Cell lengths 5.646, 5.646, 8.687 Å; angles 90.00, 90.00, 110.32 degrees
Atoms (fractional coordinates):
Zn1 0.875 0.691 0.261
Zn2 0.126 0.296 0.500
Zn3 0.381 0.619 0.747
Zn4 0.097 0.312 0.000
Zn5 0.309 0.125 0.261
Zn6 0.204 0.796 0.500
Zn7 0.813 0.187 0.257
Zn8 0.813 0.187 0.743
Zn9 0.635 0.365 0.500
Zn10 0.875 0.691 0.739
Zn11 0.704 0.874 0.500
Zn12 0.381 0.619 0.253
Zn13 0.688 0.903 0.000
Zn14 0.309 0.125 0.739
Cd1 0.176 0.824 0.000
Zr1 0.613 0.387 0.000

Output
Symmetry: No. 38
Energy of formation from the pure elements: -0.035 eV/atom

---

(24)
First-principles (PBE-GGA) data for ZrZnCd after structural relaxation, as listed in Alexandria.

Cell lengths 4.229, 4.229, 6.795 Å; angles 90.00, 90.00, 90.00 degrees
Atoms (fractional coordinates):
Zr1 0.000 0.500 0.182
Zr2 0.500 0.000 0.818
Zn1 0.000 0.000 0.500
Zn2 0.500 0.500 0.500
Cd1 0.000 0.500 0.755
Cd2 0.500 0.000 0.245

Output
Symmetry: No. 129
Energy of formation from the pure elements: 0.014 eV/atom

---

(25)
First-principles (PBE-GGA) data for ZrZn2Cd2 after structural relaxation, as listed in Alexandria.

Cell lengths 8.098, 8.098, 2.914 Å; angles 90.00, 90.00, 90.00 degrees
Atoms (fractional coordinates):
Cd1 0.128 0.372 0.000
Cd2 0.372 0.872 0.000
Cd3 0.628 0.128 0.000
Cd4 0.872 0.628 0.000
Zn1 0.674 0.826 0.500
Zn2 0.326 0.174 0.500
Zn3 0.826 0.326 0.500
Zn4 0.174 0.674 0.500
Zr1 0.500 0.500 0.000
Zr2 0.000 0.000 0.000

Output
Symmetry: No. 127
Energy of formation from the pure elements: 0.056 eV/atom